! KEuBi | the Alexandria database | PBE-GGA | optimized geometry; values from VASP
&SYSTEM
  ibrav = 0, nat = 3, ntyp = 3
/
ATOMIC_SPECIES
K 39.10 K.upf
Eu 151.96 Eu.upf
Bi 208.98 Bi.upf
CELL_PARAMETERS angstrom
5.418 0.000 0.000
-2.709 4.692 0.000
0.000 0.000 5.421
ATOMIC_POSITIONS angstrom
K 0.000 0.000 0.000
Eu 0.000 3.128 2.620
Bi 2.709 1.564 3.469
! calculated volume = 45.9 A^3/atom
! ΔE_f = -405 meV per atom
! density of states at the Fermi level = 4.77 states/eV/atom